DFT (PBE-GGA) results for an optimized crystal structure of Hf5C4N.

Unit cell a=3.2774 b=4.6208 c=16.3906 alpha=90.00 beta=90.00 gamma=90.00
Closest atoms and distances in Å follow each position.
Space group Immm (No. 71)
Inequivalent atoms, fractional coordinates:
Hf: 0.0000 0.0000 0.0000 [2 per cell]  4 C 2.30, 2 N 2.31
Hf: 0.0000 0.0000 0.1999 [4 per cell]  6 C 2.31-2.34
Hf: 0.0000 0.0000 0.3984 [4 per cell]  4 C 2.28-2.31, 2 N 2.34
C: 0.0000 0.5000 0.1981 [4 per cell]  6 Hf 2.28-2.34
C: 0.0000 0.5000 0.4012 [4 per cell]  6 Hf 2.30-2.33
N: 0.0000 0.5000 0.0000 [2 per cell]  6 Hf 2.31-2.34

Calculated values
energy relative to the elements, uncorrected	-1.1513	eV per atom
crystal system	orthorhombic
density of states at the Fermi level	0.248	states/eV/atom